Record 1
NaAc2TmSe4 after structural relaxation, computed with GGA-PBE.

Output
The calculation puts the final energy at -5.22 eV per atom. The value obtained for the total magnetization is 0.0000 μB per atom. Its space group is No. 10. For the formation energy (no corrections), the calculation gives -1.727 eV per atom. The volume is 28.09 Å³ per atom.

a = 4.2920 Å, b = 7.4136 Å, c = 7.4804 Å
α = 70.73°, β = 90.00°, γ = 90.00°
Closest atoms and distances in Å follow each position.
Atoms (fractional coordinates):
Se 0.0000 0.2720 0.2513  1 Tm 2.90, 2 Na 2.98, 3 Ac 3.11-3.18
Se 0.5000 0.2792 0.7351  2 Tm 2.91, 1 Na 2.96, 3 Ac 3.13-3.18
Se 0.5000 0.7208 0.2649  2 Tm 2.91, 1 Na 2.96, 3 Ac 3.13-3.18
Se 0.0000 0.7280 0.7487  1 Tm 2.90, 2 Na 2.98, 3 Ac 3.11-3.18
Na 0.5000 0.5000 0.0000  6 Se 2.96-2.98
Ac 0.0000 0.0000 0.0000  6 Se 3.18
Ac 0.5000 0.0000 0.5000  6 Se 3.11-3.13
Tm 0.0000 0.5000 0.5000  6 Se 2.90-2.91

=====

Record 2
NaAc2TmSe5 after structural relaxation, computed with GGA-PBE.

Output
The calculation puts the final energy at -5.28 eV per atom. The value obtained for the total magnetization is 0.0000 μB per atom. Its space group is No. 36. For the formation energy (no corrections), the calculation gives -1.788 eV per atom. The volume is 28.19 Å³ per atom.

a = 4.3447 Å, b = 9.1592 Å, c = 13.1266 Å
α = 90.00°, β = 90.00°, γ = 103.72°
Closest atoms and distances in Å follow each position.
Atoms (fractional coordinates):
Ac 0.8663 0.7325 0.7979  8 Se 3.16-3.41
Ac 0.8972 0.7944 0.1827  6 Se 3.13-3.31
Ac 0.1337 0.2675 0.2979  8 Se 3.16-3.41
Ac 0.1028 0.2056 0.6827  6 Se 3.13-3.31
Se 0.6901 0.3801 0.8620  2 Tm 2.91, 1 Na 3.14, 1 Ac 3.25
Se 0.6369 0.2739 0.4977  1 Tm 2.85, 1 Na 3.03
Se 0.3099 0.6199 0.3620  2 Tm 2.91, 1 Na 3.14, 1 Ac 3.25
Se 0.3631 0.7261 0.9977  1 Tm 2.85, 1 Na 3.03
Se 0.9396 0.8793 0.5786  2 Na 2.66, 1 Tm 2.70
Se 0.4940 0.9879 0.7705  1 Na 2.68
Se 0.0604 0.1207 0.0786  2 Na 2.66, 1 Tm 2.70
Se 0.5060 0.0121 0.2705  1 Na 2.68
Se 0.2785 0.5570 0.6575  2 Tm 2.94, 3 Ac 3.14-3.25
Se 0.7215 0.4430 0.1575  2 Tm 2.94, 3 Ac 3.14-3.25
Tm 0.7968 0.5935 0.5087  6 Se 2.70-2.94
Tm 0.2032 0.4065 0.0087  6 Se 2.70-2.94
Na 0.4678 0.9356 0.4683  3 Se 2.66-2.68
Na 0.5322 0.0644 0.9683  3 Se 2.66-2.68

=====

Record 3
Na3AcTm2Se6 after structural relaxation, computed with GGA-PBE.

Output
The calculation puts the final energy at -4.85 eV per atom. The value obtained for the total magnetization is 0.0000 μB per atom. Its space group is No. 12. For the formation energy (no corrections), the calculation gives -1.693 eV per atom. The volume is 27.35 Å³ per atom.

a = 7.3470 Å, b = 7.3470 Å, c = 7.4459 Å
α = 99.55°, β = 99.55°, γ = 120.03°
Closest atoms and distances in Å follow each position.
Atoms (fractional coordinates):
Ac 0.0000 0.0000 0.0000  6 Se 3.07-3.08
Se 0.2777 0.2777 0.7674  2 Tm 2.88, 3 Na 2.96-3.13, 1 Ac 3.08
Se 0.0776 0.4330 0.2306  2 Tm 2.87, 3 Na 2.98-3.17, 1 Ac 3.07
Se 0.9224 0.5670 0.7694  2 Tm 2.87, 3 Na 2.98-3.17, 1 Ac 3.07
Se 0.7223 0.7223 0.2326  2 Tm 2.88, 3 Na 2.96-3.13, 1 Ac 3.08
Se 0.5670 0.9224 0.7694  2 Tm 2.87, 3 Na 2.98-3.17, 1 Ac 3.07
Se 0.4330 0.0776 0.2306  2 Tm 2.87, 3 Na 2.98-3.17, 1 Ac 3.07
Na 0.1648 0.8352 0.5000  6 Se 2.98-3.17
Na 0.5000 0.5000 0.5000  6 Se 2.96-3.16
Na 0.8352 0.1648 0.5000  6 Se 2.98-3.17
Tm 0.3328 0.6672 0.0000  6 Se 2.87-2.88
Tm 0.6672 0.3328 0.0000  6 Se 2.87-2.88

=====

Record 4
Na2Ac2USe6 after structural relaxation, computed with GGA-PBE.

Output
The calculation puts the final energy at -5.45 eV per atom. The value obtained for the total magnetization is 0.1818 μB per atom. Its space group is No. 12. For the formation energy (no corrections), the calculation gives -1.536 eV per atom. The volume is 32.43 Å³ per atom.

a = 7.6620 Å, b = 7.6620 Å, c = 7.3798 Å
α = 99.71°, β = 99.71°, γ = 119.17°
Closest atoms and distances in Å follow each position.
Atoms (fractional coordinates):
Na 0.8339 0.1661 0.0000  6 Se 3.07-3.32
Na 0.1661 0.8339 0.0000  6 Se 3.07-3.32
U 0.0000 0.0000 0.5000  6 Se 2.84-2.90
Se 0.2280 0.2280 0.2690  1 U 2.84, 2 Na 3.09, 2 Ac 3.12
Se 0.6141 0.9296 0.2683  1 U 2.90, 1 Na 3.07, 2 Ac 3.09-3.13
Se 0.7720 0.7720 0.7310  1 U 2.84, 2 Na 3.09, 2 Ac 3.12
Se 0.9296 0.6141 0.2683  1 U 2.90, 1 Na 3.07, 2 Ac 3.09-3.13
Se 0.0704 0.3859 0.7317  1 U 2.90, 1 Na 3.07, 2 Ac 3.09-3.13
Se 0.3859 0.0704 0.7317  1 U 2.90, 1 Na 3.07, 2 Ac 3.09-3.13
Ac 0.3351 0.6649 0.5000  6 Se 3.09-3.13
Ac 0.6649 0.3351 0.5000  6 Se 3.09-3.13

=====

Record 5
Na3Ac3USe8 after structural relaxation, computed with GGA-PBE.

Output
The calculation puts the final energy at -5.30 eV per atom. The value obtained for the total magnetization is 0.1333 μB per atom. Its space group is No. 12. For the formation energy (no corrections), the calculation gives -1.600 eV per atom. The volume is 32.28 Å³ per atom.

a = 8.9625 Å, b = 8.9465 Å, c = 8.6763 Å
α = 120.97°, β = 90.00°, γ = 120.06°
Closest atoms and distances in Å follow each position.
Atoms (fractional coordinates):
Se 0.7694 0.0020 0.2720  1 U 2.87, 2 Ac 3.12, 2 Na 3.13-3.14
Se 0.2326 0.0020 0.2720  1 U 2.87, 2 Ac 3.12, 2 Na 3.13-3.14
Se 0.7700 0.5400 0.2723  1 U 2.87, 2 Ac 3.12, 2 Na 3.13
Se 0.2511 0.5022 0.2538  3 Ac 3.10, 3 Na 3.13
Se 0.7489 0.4978 0.7462  3 Ac 3.10, 3 Na 3.13
Se 0.2300 0.4600 0.7277  1 U 2.87, 2 Ac 3.12, 2 Na 3.13
Se 0.7674 0.9980 0.7280  1 U 2.87, 2 Ac 3.12, 2 Na 3.13-3.14
Se 0.2306 0.9980 0.7280  1 U 2.87, 2 Ac 3.12, 2 Na 3.13-3.14
Na 0.5000 0.5000 0.0000  6 Se 3.13
Na 0.0000 0.5000 0.0000  6 Se 3.13
Na 0.0000 0.0000 0.0000  6 Se 3.13-3.14
Ac 0.5000 0.0000 0.5000  6 Se 3.10-3.12
Ac 0.5000 0.5000 0.5000  6 Se 3.10-3.12
Ac 0.0000 0.5000 0.5000  6 Se 3.10-3.12
U 0.0000 0.0000 0.5000  6 Se 2.87

=====

Record 6
Na2AcUSe4 after structural relaxation, computed with GGA-PBE.

Output
The calculation puts the final energy at -5.41 eV per atom. The value obtained for the total magnetization is 0.3753 μB per atom. Its space group is No. 10. For the formation energy (no corrections), the calculation gives -1.416 eV per atom. The volume is 28.87 Å³ per atom.

a = 4.3434 Å, b = 7.5633 Å, c = 7.4690 Å
α = 109.75°, β = 90.00°, γ = 90.00°
Closest atoms and distances in Å follow each position.
Atoms (fractional coordinates):
Se 0.5000 0.2636 0.2436  1 U 2.95, 3 Na 3.04-3.20, 2 Ac 3.09
Se 0.0000 0.7303 0.2341  2 U 2.96, 3 Na 3.05-3.18, 1 Ac 3.10
Se 0.0000 0.2697 0.7659  2 U 2.96, 3 Na 3.05-3.18, 1 Ac 3.10
Se 0.5000 0.7364 0.7564  1 U 2.95, 3 Na 3.04-3.20, 2 Ac 3.09
Na 0.5000 0.0000 0.5000  6 Se 3.18-3.20
Na 0.0000 0.5000 0.5000  6 Se 3.04-3.05
Ac 0.0000 0.0000 0.0000  6 Se 3.09-3.10
U 0.5000 0.5000 0.0000  6 Se 2.95-2.96

=====

Record 7
NaAc2USe6 after structural relaxation, computed with GGA-PBE.

Output
The calculation puts the final energy at -5.72 eV per atom. The value obtained for the total magnetization is 0.1000 μB per atom. Its space group is No. 146. For the formation energy (no corrections), the calculation gives -1.544 eV per atom. The volume is 32.65 Å³ per atom.

a = 7.6030 Å, b = 7.6030 Å, c = 7.8614 Å
α = 61.08°, β = 61.08°, γ = 60.00°
Closest atoms and distances in Å follow each position.
Atoms (fractional coordinates):
Se 0.4346 0.6825 0.7666  1 U 2.76, 1 Na 2.94, 1 Ac 3.08
Se 0.1932 0.9703 0.2583  1 U 2.77, 1 Na 3.09
Se 0.5782 0.1932 0.2583  1 U 2.77, 1 Na 3.09
Se 0.1164 0.4346 0.7666  1 U 2.76, 1 Na 2.94, 1 Ac 3.08
Se 0.9703 0.5782 0.2583  1 U 2.77, 1 Na 3.09
Se 0.6825 0.1164 0.7666  1 U 2.76, 1 Na 2.94, 1 Ac 3.08
U 0.3232 0.3232 0.0305  6 Se 2.76-2.77
Na 0.8121 0.8122 0.5635  6 Se 2.94-3.09
Ac 0.5304 0.5304 0.4088  6 Se 3.11-3.18
Ac 0.0207 0.0207 0.9378  6 Se 3.08-3.16

=====

Record 8
Na3Ac3VSe8 after structural relaxation, computed with GGA-PBE.

Output
The calculation puts the final energy at -4.97 eV per atom. The value obtained for the total magnetization is 0.0666 μB per atom. Its space group is No. 166. For the formation energy (no corrections), the calculation gives -1.417 eV per atom. The volume is 30.89 Å³ per atom.

a = 8.7122 Å, b = 8.7121 Å, c = 8.6593 Å
α = 120.20°, β = 90.00°, γ = 120.00°
Closest atoms and distances in Å follow each position.
Atoms (fractional coordinates):
Na 0.0000 0.0000 0.0000  6 Se 3.06-3.09
Na 0.0000 0.5000 0.0000  6 Se 3.06-3.09
Na 0.5000 0.5000 0.0000  6 Se 3.06-3.09
Se 0.7864 0.5727 0.2850  1 V 2.62
Se 0.2494 0.4988 0.2484  3 Na 3.06, 3 Ac 3.08
Se 0.7506 0.5012 0.7516  3 Na 3.06, 3 Ac 3.08
Se 0.7865 0.9985 0.2850  1 V 2.62
Se 0.2120 0.9985 0.2850  1 V 2.62
Se 0.2135 0.0015 0.7150  1 V 2.62
Se 0.7880 0.0015 0.7150  1 V 2.62
Se 0.2136 0.4273 0.7150  1 V 2.62
Ac 0.5000 0.0000 0.5000  6 Se 3.08-3.11
Ac 0.5000 0.5000 0.5000  6 Se 3.08-3.12
Ac 0.0000 0.5000 0.5000  6 Se 3.08-3.12
V 0.0000 0.0000 0.5000  6 Se 2.62

=====

Record 9
Na2Ac3YSe6 after structural relaxation, computed with GGA-PBE.

Output
The calculation puts the final energy at -5.27 eV per atom. The value obtained for the total magnetization is 0.0000 μB per atom. Its space group is No. 12. For the formation energy (no corrections), the calculation gives -1.738 eV per atom. The volume is 29.07 Å³ per atom.

a = 7.5994 Å, b = 7.5994 Å, c = 7.4090 Å
α = 99.80°, β = 99.80°, γ = 119.91°
Closest atoms and distances in Å follow each position.
Atoms (fractional coordinates):
Y 0.0000 0.0000 0.0000  6 Se 2.94-2.97
Na 0.6654 0.3346 0.0000  6 Se 3.03-3.06
Na 0.3346 0.6654 0.0000  6 Se 3.03-3.06
Ac 0.1709 0.8291 0.5000  6 Se 3.12-3.17
Ac 0.8291 0.1709 0.5000  6 Se 3.12-3.17
Ac 0.5000 0.5000 0.5000  6 Se 3.12-3.18
Se 0.5988 0.9226 0.7687  1 Y 2.94, 2 Na 3.03-3.05, 3 Ac 3.12-3.17
Se 0.4012 0.0774 0.2313  1 Y 2.94, 2 Na 3.03-3.05, 3 Ac 3.12-3.17
Se 0.9226 0.5988 0.7687  1 Y 2.94, 2 Na 3.03-3.05, 3 Ac 3.12-3.17
Se 0.0774 0.4012 0.2313  1 Y 2.94, 2 Na 3.03-3.05, 3 Ac 3.12-3.17
Se 0.2431 0.2431 0.7608  1 Y 2.97, 2 Na 3.06, 3 Ac 3.13-3.18
Se 0.7569 0.7569 0.2392  1 Y 2.97, 2 Na 3.06, 3 Ac 3.13-3.18

=====

Record 10
NaAc3Y3Se8 after structural relaxation, computed with GGA-PBE.

Output
The calculation puts the final energy at -5.88 eV per atom. The value obtained for the total magnetization is 0.0000 μB per atom. Its space group is No. 166. For the formation energy (no corrections), the calculation gives -1.814 eV per atom. The volume is 29.04 Å³ per atom.

a = 8.4383 Å, b = 8.4379 Å, c = 8.5816 Å
α = 119.45°, β = 90.00°, γ = 120.00°
Closest atoms and distances in Å follow each position.
Atoms (fractional coordinates):
Se 0.2588 0.5177 0.2765  3 Y 2.90, 3 Ac 3.12
Se 0.7327 0.9828 0.7329  2 Y 2.91, 1 Na 3.01, 2 Ac 3.12
Se 0.2673 0.0172 0.2671  2 Y 2.91, 1 Na 3.01, 2 Ac 3.12
Se 0.7412 0.4823 0.7235  3 Y 2.90, 3 Ac 3.12
Se 0.7499 0.0172 0.2671  2 Y 2.91, 1 Na 3.01, 2 Ac 3.12
Se 0.7500 0.4999 0.2671  2 Y 2.91, 1 Na 3.01, 2 Ac 3.12
Se 0.2500 0.5001 0.7329  2 Y 2.91, 1 Na 3.01, 2 Ac 3.12
Se 0.2501 0.9828 0.7329  2 Y 2.91, 1 Na 3.01, 2 Ac 3.12
Y 0.5000 0.5000 0.5000  6 Se 2.90-2.91
Y 0.5000 0.0000 0.5000  6 Se 2.90-2.91
Y 0.0000 0.5000 0.5000  6 Se 2.90-2.91
Ac 0.0000 0.0000 0.0000  6 Se 3.12
Ac 0.5000 0.5000 0.0000  6 Se 3.12
Ac 0.0000 0.5000 0.0000  6 Se 3.12
Na 0.0000 0.0000 0.5000  6 Se 3.01